No. 1
Here is a relaxed Mn2MoPb crystal from the Alexandria database. Energies are from PBEsol.

Cell lengths 2.964, 2.964, 7.329 Å; angles 90.00, 90.00, 90.00 degrees
Sites, in units of the cell vectors:
1 Mn 0.000 0.000 0.000
2 Mn 0.500 0.500 0.208
3 Mo 0.000 0.000 0.388
4 Pb 0.500 0.500 0.700

Properties
Crystal system: tetragonal

No. 2
Here is a relaxed MnMo2RuPb crystal from the Alexandria database. Energies are from PBEsol.

Cell lengths 4.344, 4.344, 4.751 Å; angles 90.00, 90.00, 90.00 degrees
Sites, in units of the cell vectors:
1 Mn 0.000 0.000 0.000
2 Mo 0.000 0.500 0.000
3 Mo 0.500 0.000 0.000
4 Ru 0.500 0.500 0.500
5 Pb 0.000 0.000 0.500

Properties
Crystal system: tetragonal

No. 3
Here is a relaxed MnMo2Pd crystal from the Alexandria database. Energies are from PBEsol.

Cell lengths 4.306, 4.306, 4.306 Å; angles 60.00, 60.00, 60.00 degrees
Sites, in units of the cell vectors:
1 Mn 0.000 0.000 0.000
2 Mo 0.250 0.250 0.250
3 Mo 0.750 0.750 0.750
4 Pd 0.500 0.500 0.500

Properties
Crystal system: cubic

No. 4
Here is a relaxed MnMoPt2 crystal from the Alexandria database. Energies are from PBEsol.

Cell lengths 4.755, 4.755, 2.717 Å; angles 90.00, 90.00, 110.89 degrees
Sites, in units of the cell vectors:
1 Mn 0.000 0.000 0.000
2 Mo 0.500 0.500 0.000
3 Pt 0.000 0.500 0.500
4 Pt 0.500 0.000 0.500

Properties
Crystal system: orthorhombic
Polymorph energy (0 for the lowest one) in meV/atom: 55

No. 5
Here is a relaxed MnMoPt2 crystal from the Alexandria database. Energies are from PBEsol.

Cell lengths 4.707, 4.707, 4.707 Å; angles 131.77, 131.77, 70.60 degrees
Sites, in units of the cell vectors:
1 Mn 0.000 0.000 0.000
2 Mo 0.250 0.750 0.500
3 Pt 0.500 0.500 0.000
4 Pt 0.750 0.250 0.500

Properties
Crystal system: tetragonal
Polymorph energy (0 for the lowest one) in meV/atom: 75

No. 6
Here is a relaxed MnMoPt2 crystal from the Alexandria database. Energies are from PBEsol.

Cell lengths 4.760, 4.760, 4.760 Å; angles 132.92, 132.92, 68.78 degrees
Sites, in units of the cell vectors:
1 Mn 0.000 0.000 0.000
2 Mo 0.500 0.500 0.000
3 Pt 0.250 0.750 0.500
4 Pt 0.750 0.250 0.500

Properties
Crystal system: tetragonal
Polymorph energy (0 for the lowest one) in meV/atom: 0

No. 7
Here is a relaxed MnMoPt2 crystal from the Alexandria database. Energies are from PBEsol.

Cell lengths 3.798, 3.798, 3.935 Å; angles 90.00, 90.00, 90.00 degrees
Sites, in units of the cell vectors:
1 Mn 0.000 0.000 0.000
2 Mo 0.500 0.500 0.000
3 Pt 0.000 0.500 0.500
4 Pt 0.500 0.000 0.500

Properties
Crystal system: tetragonal
Polymorph energy (0 for the lowest one) in meV/atom: 54

No. 8
Here is a relaxed MnMoPt2 crystal from the Alexandria database. Energies are from PBEsol.

Cell lengths 2.719, 3.913, 5.365 Å; angles 90.00, 90.00, 90.00 degrees
Sites, in units of the cell vectors:
1 Mn 0.000 0.000 0.000
2 Mo 0.000 0.000 0.500
3 Pt 0.500 0.500 0.249
4 Pt 0.500 0.500 0.751

Properties
Crystal system: orthorhombic
Polymorph energy (0 for the lowest one) in meV/atom: 4

No. 9
Here is a relaxed MnMoPt2 crystal from the Alexandria database. Energies are from PBEsol.

Cell lengths 4.388, 4.388, 4.388 Å; angles 60.00, 60.00, 60.00 degrees
Sites, in units of the cell vectors:
1 Mn 0.000 0.000 0.000
2 Mo 0.500 0.500 0.500
3 Pt 0.250 0.250 0.250
4 Pt 0.750 0.750 0.750

Properties
Crystal system: cubic
Polymorph energy (0 for the lowest one) in meV/atom: 334

No. 10
Here is a relaxed RbMnMo3 crystal from the Alexandria database. Energies are from PBEsol.

Cell lengths 4.605, 4.605, 4.605 Å; angles 90.00, 90.00, 90.00 degrees
Sites, in units of the cell vectors:
1 Rb 0.000 0.000 0.000
2 Mn 0.500 0.500 0.500
3 Mo 0.000 0.500 0.500
4 Mo 0.500 0.000 0.500
5 Mo 0.500 0.500 0.000

Properties
Crystal system: cubic

No. 11
Here is a relaxed Mn2ReMo crystal from the Alexandria database. Energies are from PBEsol.

Cell lengths 8.652, 8.652, 8.652 Å; angles 17.60, 17.60, 17.60 degrees
Sites, in units of the cell vectors:
1 Mn 0.000 0.000 0.000
2 Mn 0.262 0.262 0.262
3 Re 0.514 0.514 0.514
4 Mo 0.752 0.752 0.752

Properties
Crystal system: trigonal

No. 12
Here is a relaxed MnReMo2 crystal from the Alexandria database. Energies are from PBEsol.

Cell lengths 5.015, 5.015, 5.015 Å; angles 143.91, 128.98, 64.08 degrees
Sites, in units of the cell vectors:
1 Mn 0.000 0.000 0.000
2 Re 0.747 0.247 0.500
3 Mo 0.251 0.751 0.500
4 Mo 0.498 0.498 0.000

Properties
Crystal system: orthorhombic
Polymorph energy (0 for the lowest one) in meV/atom: 0

Record order is preserved below.
DFT formation energy: 0.5326; 1.4810; 0.4049; -0.2224; -0.2025; -0.2771; -0.2233; -0.2729; 0.0566; 1.7600; 0.2777; 0.1228 eV per atom